AsRh2Cl | PBE | optimized geometry

Computed properties:
Energy relative to the lowest polymorph listed for this composition in meV per atom: 368.0
Calculated density in Mg/m³: 8.6
ΔE_f (raw) in eV/atom: 0.165
Space group: No. 225

a b c (Å): 4.418 4.418 4.418
angles (deg): 60.00 60.00 60.00
Fractional positions:
As 0.000 0.000 0.000
Rh 0.250 0.250 0.250
Rh 0.750 0.750 0.750
Cl 0.500 0.500 0.500